## Ac12Pm7Nd (PBE)

Data for a geometry-optimized Ac12Pm7Nd structure.

V = 45.8 A^3/atom
energy = -74.9 eV per cell
ΔE_f = 0.62 eV/atom
offset from the most stable computed form = 425.9 meV/atom

Cell: 10.594 10.594 10.594 Å, 109.47 109.47 109.47°
Atoms (fractional coordinates):
Ac (0.495, 0.711, 0.784)
Ac (0.927, 0.711, 0.216)
Ac (0.505, 0.289, 0.216)
Ac (0.073, 0.289, 0.784)
Ac (0.784, 0.073, 0.289)
Ac (0.784, 0.495, 0.711)
Ac (0.216, 0.927, 0.711)
Ac (0.216, 0.505, 0.289)
Ac (0.711, 0.784, 0.495)
Ac (0.289, 0.216, 0.505)
Ac (0.711, 0.216, 0.927)
Ac (0.289, 0.784, 0.073)
Pm (0.500, 0.500, 0.000)
Pm (0.000, 0.500, 0.500)
Pm (0.500, 0.000, 0.500)
Pm (0.500, 0.500, 0.500)
Pm (0.000, 0.000, 0.500)
Pm (0.500, 0.000, 0.000)
Pm (0.000, 0.500, 0.000)
Nd (0.000, 0.000, 0.000)